# TbPm2Rh9

An optimized crystal structure of TbPm2Rh9 (PBE, Alexandria).

a = 5.2881 Å, b = 5.2881 Å, c = 9.3731 Å
α = 73.61°, β = 73.61°, γ = 60.00°
Atoms (fractional coordinates):
Rh: 0.5811 0.5811 0.7556
Rh: 0.5000 0.5000 0.5000
Rh: 0.9179 0.4189 0.2444
Rh: 0.5811 0.0821 0.7556
Rh: 0.4189 0.4189 0.2444
Rh: 0.0821 0.5811 0.7556
Rh: 0.3328 0.3328 0.0015
Rh: 0.6672 0.6672 0.9985
Rh: 0.4189 0.9179 0.2444
Pm: 0.8613 0.8613 0.4160
Pm: 0.1387 0.1387 0.5840
Tb: 0.0000 0.0000 0.0000

Results
Calculated density, kg/m3: 10639
Total energy, eV/atom: -7.219
Total magnetic moment, μB/f.u.: 0.000